Entry 1:
# LiLaZn (PBE, relaxed)
data_LiLaZn
_chemical_formula_sum 'Li2 La2 Zn2'
_cell_length_a 6.3185
_cell_length_b 3.4727
_cell_length_c 7.3520
_cell_angle_alpha 90.00
_cell_angle_beta 106.47
_cell_angle_gamma 90.00
_symmetry_space_group_name_H-M 'C 1 m 1'
_symmetry_Int_Tables_number 8
_symmetry_space_group_name_Hall 'C -2y'
loop_
_atom_site_label
_atom_site_type_symbol
_atom_site_fract_x
_atom_site_fract_y
_atom_site_fract_z
Li1 Li 0.0000 0.0000 0.0000
La1 La 0.4501 0.0000 0.4223
Zn1 Zn 0.2406 0.0000 0.7543
# Formation energy from the elements = 3.8 kJ per mole of atoms
# Total magnetic moment = 0.0 μB/f.u.
# DOS(E_F) = 0.58 states/eV/atom
# Offset from the most stable computed form = 20.3 kJ per mole of atoms


Entry 2:
# LiLa4Zn (PBE, relaxed)
data_LiLa4Zn
_chemical_formula_sum 'Li2 La8 Zn2'
_cell_length_a 7.3460
_cell_length_b 7.3461
_cell_length_c 7.6191
_cell_angle_alpha 90.00
_cell_angle_beta 90.09
_cell_angle_gamma 90.00
_symmetry_space_group_name_H-M 'C 1 2 1'
_symmetry_Int_Tables_number 5
_symmetry_space_group_name_Hall 'C 2y'
loop_
_atom_site_label
_atom_site_type_symbol
_atom_site_fract_x
_atom_site_fract_y
_atom_site_fract_z
Li1 Li 0.0000 0.0000 0.0000
La1 La 0.2499 0.2502 0.7220
La2 La 0.2498 0.2507 0.2780
Zn1 Zn 0.0000 0.5009 0.5000
# Formation energy from the elements = 18.3 kJ per mole of atoms
# Total magnetic moment = 0.0 μB/f.u.
# DOS(E_F) = 1.75 states/eV/atom
# Offset from the most stable computed form = 0.0 kJ per mole of atoms